The following is a GGA-PBEsol calculation of GeS2 after structural relaxation, from Alexandria. Values from VASP.

Computed properties:
The calculation puts the density of states at the Fermi level at 0.000 states/eV per cell. The value obtained for the total energy is -4.893 eV/atom. The value obtained for the uncorrected formation energy is -324 meV per atom.

Structure (Quantum ESPRESSO input):
```
&SYSTEM
  ibrav = 0, nat = 48, ntyp = 2
/
ATOMIC_SPECIES
Ge 72.64 Ge.upf
S 32.06 S.upf
CELL_PARAMETERS angstrom
-5.560 5.560 9.383
5.560 -5.560 9.383
5.560 5.560 -9.383
ATOMIC_POSITIONS crystal
Ge 0.065 0.281 0.967
Ge 0.098 0.065 0.284
Ge 0.187 0.902 0.467
Ge 0.219 0.435 0.533
Ge 0.281 0.813 0.216
Ge 0.313 0.781 0.716
Ge 0.402 0.687 0.967
Ge 0.435 0.402 0.216
Ge 0.565 0.598 0.784
Ge 0.598 0.313 0.033
Ge 0.687 0.219 0.284
Ge 0.719 0.187 0.784
Ge 0.781 0.565 0.467
Ge 0.813 0.098 0.533
Ge 0.902 0.935 0.716
Ge 0.935 0.719 0.033
S 0.014 0.264 0.750
S 0.041 0.250 0.291
S 0.089 0.639 0.980
S 0.109 0.089 0.950
S 0.139 0.589 0.480
S 0.159 0.109 0.520
S 0.236 0.486 0.750
S 0.250 0.459 0.209
S 0.250 0.959 0.709
S 0.264 0.014 0.250
S 0.341 0.861 0.950
S 0.361 0.841 0.450
S 0.391 0.341 0.980
S 0.411 0.391 0.550
S 0.459 0.750 0.209
S 0.486 0.236 0.250
S 0.514 0.764 0.750
S 0.541 0.250 0.791
S 0.589 0.609 0.450
S 0.609 0.659 0.020
S 0.639 0.159 0.550
S 0.659 0.139 0.050
S 0.736 0.986 0.750
S 0.750 0.041 0.291
S 0.750 0.541 0.791
S 0.764 0.514 0.250
S 0.841 0.891 0.480
S 0.861 0.411 0.520
S 0.891 0.911 0.050
S 0.911 0.361 0.020
S 0.959 0.750 0.709
S 0.986 0.736 0.250
```